# CoBN2F (PBE+U, optimized geometry)
# **Magnetic moment**: 0.56 μB/atom
# **Total energy**: -0.414 Ry per atom
data_CoBN2F
_chemical_formula_sum 'Co1 B1 N2 F1'
_cell_length_a 3.0819
_cell_length_b 3.0819
_cell_length_c 4.8196
_cell_angle_alpha 90.00
_cell_angle_beta 90.00
_cell_angle_gamma 90.00
_symmetry_space_group_name_H-M 'P 1'
_symmetry_Int_Tables_number 1
_symmetry_space_group_name_Hall 'P 1'
loop_
_atom_site_label
_atom_site_type_symbol
_atom_site_fract_x
_atom_site_fract_y
_atom_site_fract_z
_atom_site_occupancy
Co1 Co 0.0000 0.0000 0.0000 1
B1 B 0.5000 0.5000 0.5000 1
N1 N 0.0000 0.5000 0.5000 1
N2 N 0.5000 0.0000 0.5000 1
F1 F 0.5000 0.5000 0.0000 1